(1)
! PBE ZnAuBr2, relaxed; values from VASP
&SYSTEM
  ibrav = 0, nat = 4, ntyp = 3
/
ATOMIC_SPECIES
Zn 65.41 Zn.upf
Au 196.97 Au.upf
Br 79.90 Br.upf
CELL_PARAMETERS angstrom
10.600 -0.072 -0.042
10.030 3.427 -0.042
10.030 1.631 3.014
ATOMIC_POSITIONS angstrom
Zn 7.665 1.247 0.732
Au 22.995 3.740 2.197
Br 16.332 2.656 1.561
Br 29.658 4.823 2.834
! * excess energy over the best structure of this formula in the dataset: 0.137 eV/atom
! * space group: R-3m
! * N(E_F): 1.09 states/eV/cell
! * final energy: -8.431 eV/cell

=====

(2)
! PBE Zn2AuBr, relaxed; values from VASP
&SYSTEM
  ibrav = 0, nat = 4, ntyp = 3
/
ATOMIC_SPECIES
Au 196.97 Au.upf
Zn 65.41 Zn.upf
Br 79.90 Br.upf
CELL_PARAMETERS angstrom
-0.065 -3.339 -3.164
2.524 -0.943 -3.729
5.075 -5.519 -0.146
ATOMIC_POSITIONS angstrom
Au 5.650 -7.350 -5.279
Zn 6.965 -9.127 -6.792
Zn 4.335 -5.573 -3.767
Br 1.883 -2.450 -1.760
! * excess energy over the best structure of this formula in the dataset: 0.032 eV/atom
! * space group: C2/m
! * N(E_F): 1.03 states/eV/cell
! * final energy: -8.360 eV/cell